Density functional theory data (GGA-PBE) for a relaxed YFeCuC crystal.

ΔE_f in meV per atom: -143

Cell: 3.4072 3.4072 9.7176 Å, 90.00 90.00 90.00°
Last column: nearest neighbours and their distance in Å.
Space group P4/nmm (No. 129, origin choice 2)
Symmetry-distinct sites (fractional):
Y: 0.2500 0.2500 0.2413 x2  4 C 2.77, 4 Fe 2.90, 4 Cu 3.04
Fe: 0.2500 0.7500 0.0000 x2  4 C 1.97
Cu: 0.2500 0.7500 0.5000 x2  4 Cu 2.41
C: 0.2500 0.2500 0.8985 x2  4 Fe 1.97


Density functional theory data (GGA-PBE) for a relaxed LaPm2SmSb4 crystal.

VASP energy in eV per atom: -5.659

Cell: 7.8300 4.5253 7.8313 Å, 90.00 109.46 90.00°
Last column: nearest neighbours and their distance in Å.
Space group P2/m (No. 10)
Symmetry-distinct sites (fractional):
La: 0.0000 0.0000 0.0000 x1  6 Sb 3.22-3.23
Pm: 0.0000 0.5000 0.5000 x1  6 Sb 3.20
Pm: 0.5000 0.0000 0.5000 x1  6 Sb 3.17
Sm: 0.5000 0.5000 0.0000 x1  6 Sb 3.19
Sb: 0.2530 0.0000 0.7488 x2  3 Pm 3.17-3.20, 2 Sm 3.19, 1 La 3.22
Sb: 0.2548 0.5000 0.2537 x2  3 Pm 3.17-3.20, 1 Sm 3.19, 2 La 3.23


Density functional theory data (GGA-PBE) for a relaxed ScTiOsRu2 crystal.

ΔE_f in meV per atom: 1648

Cell: 4.4380 4.4380 4.4806 Å, 90.00 90.00 90.00°
Last column: nearest neighbours and their distance in Å.
Space group P4/mmm (No. 123)
Symmetry-distinct sites (fractional):
Sc: 0.0000 0.0000 0.0000 x1  4 Ru 2.22, 2 Ti 2.24
Ti: 0.0000 0.0000 0.5000 x1  2 Sc 2.24
Os: 0.5000 0.5000 0.5000 x1  4 Ti 3.14, 8 Ru 3.15
Ru: 0.0000 0.5000 0.0000 x2  2 Sc 2.22


Density functional theory data (GGA-PBE) for a relaxed InPH3 crystal.

VASP energy in eV per atom: -3.148

Cell: 3.7542 3.7542 3.7542 Å, 90.00 90.00 90.00°
Last column: nearest neighbours and their distance in Å.
Space group Pm-3m (No. 221)
Symmetry-distinct sites (fractional):
In: 0.0000 0.0000 0.0000 x1  12 H 2.65
P: 0.5000 0.5000 0.5000 x1  6 H 1.88
H: 0.0000 0.5000 0.5000 x3  2 P 1.88


Calculated total magnetization in order - 0.00 0.00 0.00 0.00 μB/cell